{
  "formula": "NaZrTa4N8",
  "functional": "GGA-PBE",
  "state": "optimized geometry",
  "space_group": "R3m, No. 160",
  "raw_formation_energy_ev_per_atom": -0.981,
  "lattice_angstrom": [[6.308, 0.000, 0.000], [3.154, 5.463, 0.000], [3.154, 1.821, 5.289]],
  "species": ["Na", "Zr", "Ta", "Ta", "Ta", "Ta", "N", "N", "N", "N", "N", "N", "N", "N"],
  "fractional_positions": [[0.372, 0.372, 0.884], [0.001, 0.001, 0.996], [0.626, 0.626, 0.122], [0.005, 0.479, 0.511], [0.479, 0.005, 0.511], [0.005, 0.005, 0.511], [0.241, 0.799, 0.718], [0.799, 0.241, 0.718], [0.241, 0.241, 0.718], [0.232, 0.232, 0.303], [0.749, 0.242, 0.259], [0.242, 0.749, 0.259], [0.749, 0.749, 0.259], [0.757, 0.757, 0.730]]
}

---

{
  "formula": "Al2AgPb",
  "functional": "GGA-PBE",
  "state": "optimized geometry",
  "delta_e_f_mev_per_atom": 241,
  "space_group": "Imm2, No. 44",
  "lattice_angstrom": [[6.040, -0.015, 0.021], [2.814, 5.345, -0.021], [-3.594, -4.049, 2.679]],
  "species": ["Pb", "Al", "Al", "Ag"],
  "fractional_positions": [[0.497, 0.497, 0.000], [0.004, 0.004, 0.000], [0.776, 0.276, 0.500], [0.223, 0.723, 0.500]]
}

---

{
  "formula": "HfTiTc2P",
  "functional": "GGA-PBE",
  "state": "optimized geometry",
  "delta_e_f_mev_per_atom": 735,
  "space_group": "P4/mmm, No. 123",
  "lattice_angstrom": [[4.566, 0.000, 0.000], [0.000, 4.459, 0.000], [0.000, 0.000, 4.566]],
  "species": ["P", "Hf", "Tc", "Tc", "Ti"],
  "fractional_positions": [[0.000, 0.500, 0.000], [0.500, 0.500, 0.500], [0.000, 0.000, 0.500], [0.500, 0.000, 0.000], [0.000, 0.000, 0.000]]
}